Version a
Entry from the Alexandria database: La2ScCo after structural relaxation (GGA-PBEsol).

Cell and atoms, written as POSCAR:
```
La2ScCo
1.0
-2.104 2.104 5.190
2.104 -2.104 5.190
2.104 2.104 -5.190
La Sc Co
2 1 1
Cartesian
0.000 0.000 0.000
0.000 2.104 2.595
0.000 0.000 5.190
2.104 0.000 2.595
```

Computed properties:
Density of states at the Fermi level in states/eV/cell: 4.5

Version b
Entry from the Alexandria database: La2ScCo after structural relaxation (GGA-PBEsol).

Cell and atoms, written as POSCAR:
```
La2ScCo
1.0
-1.740 2.720 5.249
1.740 -2.720 5.249
1.740 2.720 -5.249
La Sc Co
2 1 1
Cartesian
0.000 0.000 0.000
0.000 2.720 1.929
1.740 0.000 3.297
0.000 0.000 5.088
```

Computed properties:
Density of states at the Fermi level in states/eV/cell: 5.3

Relative energies, unit meV/atom: version a 270; version b 0

Version a
Entry from the Alexandria database: SrLa2Co after structural relaxation (GGA-PBEsol).

Cell and atoms, written as POSCAR:
```
SrLa2Co
1.0
2.013 1.162 9.832
-2.013 1.162 9.832
0.000 -2.324 9.832
Sr La Co
1 2 1
Cartesian
0.000 0.000 0.000
0.000 0.000 6.350
0.000 0.000 23.146
0.000 0.000 14.748
```

Computed properties:
Density of states at the Fermi level in states/eV/cell: 3.7

Version b
Entry from the Alexandria database: SrLa2Co after structural relaxation (GGA-PBEsol).

Cell and atoms, written as POSCAR:
```
SrLa2Co
1.0
0.000 3.748 3.748
3.748 0.000 3.748
3.748 3.748 0.000
Sr La Co
1 2 1
Cartesian
0.000 0.000 0.000
1.874 1.874 1.874
3.748 3.748 3.748
5.622 5.622 5.622
```

Computed properties:
Density of states at the Fermi level in states/eV/cell: 5.4

Version c
Entry from the Alexandria database: SrLa2Co after structural relaxation (GGA-PBEsol).

Cell and atoms, written as POSCAR:
```
SrLa2Co
1.0
-2.230 2.230 5.401
2.230 -2.230 5.401
2.230 2.230 -5.401
Sr La Co
1 2 1
Cartesian
0.000 0.000 0.000
2.230 0.000 2.701
0.000 0.000 5.401
0.000 2.230 2.701
```

Computed properties:
Density of states at the Fermi level in states/eV/cell: 4.5

Relative energies, unit meV/atom: version a 0; version b 576; version c 552

Version a
Entry from the Alexandria database: Sr2LaCo after structural relaxation (GGA-PBEsol).

Cell and atoms, written as POSCAR:
```
Sr2LaCo
1.0
1.901 1.098 10.709
-1.901 1.098 10.709
0.000 -2.195 10.709
Sr La Co
2 1 1
Cartesian
0.000 0.000 7.269
0.000 0.000 24.858
0.000 0.000 0.000
0.000 0.000 16.064
```

Computed properties:
Density of states at the Fermi level in states/eV/cell: 5.5

Version b
Entry from the Alexandria database: Sr2LaCo after structural relaxation (GGA-PBEsol).

Cell and atoms, written as POSCAR:
```
Sr2LaCo
1.0
3.755 0.000 0.000
0.000 2.021 8.991
0.000 -2.021 8.991
Sr La Co
2 1 1
Cartesian
0.000 0.000 0.000
1.878 0.000 5.699
0.000 0.000 11.964
1.878 0.000 2.625
```

Computed properties:
Density of states at the Fermi level in states/eV/cell: 3.2

Relative energies, unit meV/atom: version a 405; version b 0

Version a
Entry from the Alexandria database: LaCoTc2 after structural relaxation (GGA-PBEsol).

Cell and atoms, written as POSCAR:
```
LaCoTc2
1.0
2.361 -3.369 0.000
2.361 3.369 0.000
0.000 0.000 4.523
La Co Tc
1 1 2
Cartesian
0.000 0.000 0.000
2.361 0.000 0.000
2.361 1.177 2.261
2.361 -1.177 2.261
```

Computed properties:
Density of states at the Fermi level in states/eV/cell: 4.8

Version b
Entry from the Alexandria database: LaCoTc2 after structural relaxation (GGA-PBEsol).

Cell and atoms, written as POSCAR:
```
LaCoTc2
1.0
-1.550 2.459 4.424
1.550 -2.459 4.424
1.550 2.459 -4.424
La Co Tc
1 1 2
Cartesian
0.000 0.000 0.000
0.000 2.459 1.960
1.550 0.000 2.502
0.000 0.000 4.447
```

Computed properties:
Density of states at the Fermi level in states/eV/cell: 5.2

Relative energies, unit meV/atom: version a 0; version b 207

Version a
Entry from the Alexandria database: LaCoTc2 after structural relaxation (GGA-PBEsol).

Cell and atoms, written as POSCAR:
```
LaCoTc2
1.0
0.000 3.159 3.159
3.159 0.000 3.159
3.159 3.159 0.000
La Co Tc
1 1 2
Cartesian
0.000 0.000 0.000
3.159 3.159 3.159
1.580 1.580 1.580
4.739 4.739 4.739
```

Computed properties:
Density of states at the Fermi level in states/eV/cell: 5.0

Version b
Entry from the Alexandria database: LaCoTc2 after structural relaxation (GGA-PBEsol).

Cell and atoms, written as POSCAR:
```
LaCoTc2
1.0
4.447 0.000 0.000
0.000 4.447 0.000
0.000 0.000 3.250
La Co Tc
1 1 2
Cartesian
0.000 0.000 0.000
2.223 2.223 0.000
0.000 2.223 1.625
2.223 0.000 1.625
```

Computed properties:
Density of states at the Fermi level in states/eV/cell: 6.6

Relative energies, unit meV/atom: version a 0; version b 117

Version a
Entry from the Alexandria database: LaYCo2 after structural relaxation (GGA-PBEsol).

Cell and atoms, written as POSCAR:
```
LaYCo2
1.0
-1.786 1.992 5.844
1.786 -1.992 5.844
1.786 1.992 -5.844
La Y Co
1 1 2
Cartesian
0.000 0.000 0.000
1.786 0.000 3.137
0.000 0.000 6.805
0.000 1.992 2.314
```

Computed properties:
Density of states at the Fermi level in states/eV/cell: 5.4

Version b
Entry from the Alexandria database: LaYCo2 after structural relaxation (GGA-PBEsol).

Cell and atoms, written as POSCAR:
```
LaYCo2
1.0
3.853 0.000 0.000
0.000 1.987 5.231
0.000 -1.987 5.231
La Y Co
1 1 2
Cartesian
0.000 0.000 0.000
1.927 0.000 2.995
0.000 0.000 7.440
1.927 0.000 6.188
```

Computed properties:
Density of states at the Fermi level in states/eV/cell: 3.1

Relative energies, unit meV/atom: version a 150; version b 0

Version a
Entry from the Alexandria database: Li2MnCo after structural relaxation (GGA-PBEsol).

Cell and atoms, written as POSCAR:
```
Li2MnCo
1.0
0.000 2.868 2.868
2.868 0.000 2.868
2.868 2.868 0.000
Li Mn Co
2 1 1
Cartesian
1.434 1.434 1.434
4.301 4.301 4.301
0.000 0.000 0.000
2.868 2.868 2.868
```

Computed properties:
Density of states at the Fermi level in states/eV/cell: 3.6

Version b
Entry from the Alexandria database: Li2MnCo after structural relaxation (GGA-PBEsol).

Cell and atoms, written as POSCAR:
```
Li2MnCo
1.0
1.275 -1.984 0.000
1.275 1.984 0.000
0.000 0.000 8.830
Li Mn Co
2 1 1
Cartesian
0.000 0.000 2.152
0.000 0.000 6.678
1.275 0.000 4.415
1.275 0.000 0.000
```

Computed properties:
Density of states at the Fermi level in states/eV/cell: 3.4

Relative energies, unit meV/atom: version a 228; version b 0

Version a
Entry from the Alexandria database: Li2Mn3CoO8 after structural relaxation (GGA-PBEsol).

Cell and atoms, written as POSCAR:
```
Li2Mn3CoO8
1.0
8.031 0.000 0.000
0.000 8.031 0.000
0.000 0.000 8.031
Li Mn Co O
8 12 4 32
Cartesian
0.024 0.024 0.024
1.984 1.984 1.984
2.031 6.047 6.000
3.992 8.008 4.039
4.039 3.992 8.008
6.000 2.031 6.047
6.047 6.000 2.031
8.008 4.039 3.992
0.998 1.010 5.019
1.004 3.018 7.021
1.010 5.019 0.998
3.005 3.012 5.013
3.012 5.013 3.005
3.018 7.021 1.004
5.013 3.005 3.012
5.019 0.998 1.010
5.026 7.027 7.034
7.021 1.004 3.018
7.027 7.034 5.026
7.034 5.026 7.027
1.004 7.027 3.012
3.012 1.004 7.027
5.019 5.019 5.019
7.027 3.012 1.004
0.886 0.895 3.120
0.895 3.120 0.886
0.896 7.145 4.910
0.918 4.933 7.114
1.090 2.925 5.106
1.112 5.129 2.894
1.113 1.122 6.919
1.122 6.919 1.113
2.894 1.112 5.129
2.902 6.909 2.904
2.904 2.902 6.909
2.925 5.106 1.090
3.098 3.098 3.098
3.120 0.886 0.895
3.121 4.912 4.901
3.130 7.136 7.135
4.901 3.121 4.912
4.910 0.896 7.145
4.912 4.901 3.121
4.933 7.114 0.918
5.106 1.090 2.925
5.127 6.918 5.138
5.129 2.894 1.112
5.138 5.127 6.918
6.909 2.904 2.902
6.918 5.138 5.127
6.919 1.113 1.122
6.941 6.941 6.941
7.114 0.918 4.933
7.135 3.130 7.136
7.136 7.135 3.130
7.145 4.910 0.896
```

Computed properties:
Density of states at the Fermi level in states/eV/cell: 19.1

Version b
Entry from the Alexandria database: Li2Mn3CoO8 after structural relaxation (GGA-PBEsol).

Cell and atoms, written as POSCAR:
```
Li2Mn3CoO8
1.0
5.600 0.000 0.000
-2.800 4.850 0.000
0.000 0.000 9.184
Li Mn Co O
4 6 2 16
Cartesian
0.000 0.000 0.000
0.000 0.000 4.592
0.000 3.233 0.932
2.800 1.617 5.525
0.000 1.644 7.209
-1.376 4.028 7.209
1.424 0.822 2.617
1.376 4.028 7.209
4.176 0.822 2.617
2.800 3.206 2.617
0.000 3.233 4.727
2.800 1.617 0.135
0.000 0.000 1.715
0.000 0.000 6.308
-1.226 2.525 6.034
0.000 1.617 3.647
-1.399 4.041 3.647
0.000 3.233 8.206
1.401 0.809 8.239
1.226 2.525 6.034
0.000 4.649 6.034
2.800 0.201 1.441
1.574 2.325 1.441
1.399 4.041 3.647
2.800 1.617 3.614
4.199 0.809 8.239
2.800 3.232 8.239
4.026 2.325 1.441
```

Computed properties:
Density of states at the Fermi level in states/eV/cell: 8.5

Relative energies, unit meV/atom: version a 0; version b 60

Version a
Entry from the Alexandria database: Li2MnCo3O8 after structural relaxation (GGA-PBEsol).

Cell and atoms, written as POSCAR:
```
Li2MnCo3O8
1.0
4.793 -2.797 0.000
4.793 2.797 0.000
-3.055 0.000 4.795
Li Mn Co O
2 1 3 8
Cartesian
2.397 1.399 0.000
2.397 -1.399 0.000
-1.527 0.000 2.398
0.869 1.399 2.398
0.869 -1.399 2.398
3.266 0.000 2.398
0.071 0.000 3.409
2.480 1.385 3.377
1.675 0.000 1.417
4.051 1.385 1.418
2.480 -1.385 3.377
4.857 0.000 3.378
4.051 -1.385 1.418
6.460 0.000 1.386
```

Computed properties:
Density of states at the Fermi level in states/eV/cell: 6.7

Version b
Entry from the Alexandria database: Li2MnCo3O8 after structural relaxation (GGA-PBEsol).

Cell and atoms, written as POSCAR:
```
Li2MnCo3O8
1.0
7.960 0.000 0.000
0.000 7.960 0.000
0.000 0.000 7.960
Li Mn Co O
8 4 12 32
Cartesian
0.030 0.030 0.030
1.960 6.001 2.020
2.020 1.960 6.001
3.950 7.930 4.010
4.010 3.950 7.930
5.940 5.940 5.940
6.001 2.020 1.960
7.930 4.010 3.950
0.995 4.975 6.965
2.985 2.985 2.985
4.975 6.965 0.995
6.965 0.995 4.975
0.983 6.965 4.987
0.995 1.007 2.997
1.007 2.997 0.995
2.973 4.963 4.975
2.985 6.953 6.978
2.997 0.995 1.007
4.963 4.975 2.973
4.975 2.973 4.963
4.987 0.983 6.965
6.953 6.978 2.985
6.965 4.987 0.983
6.978 2.985 6.953
0.861 7.099 3.119
0.885 4.881 0.898
0.898 0.885 4.881
0.901 3.082 7.076
1.092 2.891 2.875
1.089 5.086 5.072
1.105 6.869 6.871
1.129 1.129 1.129
2.851 6.831 5.109
2.875 1.092 2.891
2.891 2.875 1.092
2.888 5.069 6.855
3.079 4.878 3.095
3.082 7.076 0.901
3.095 3.079 4.878
3.119 0.861 7.099
4.841 4.841 4.841
4.865 7.059 7.062
4.881 0.898 0.885
4.878 3.095 3.079
5.072 1.089 5.086
5.069 6.855 2.888
5.086 5.072 1.089
5.109 2.851 6.831
6.831 5.109 2.851
6.855 2.888 5.069
6.871 1.105 6.869
6.869 6.871 1.105
7.062 4.865 7.059
7.059 7.062 4.865
7.076 0.901 3.082
7.099 3.119 0.861
```

Computed properties:
Density of states at the Fermi level in states/eV/cell: 41.0

Relative energies, unit meV/atom: version a 63; version b 0